CaSm4H4O8 | PBE-GGA | optimized geometry

Cell: 5.9240 3.6163 11.4250 Å, 90.00 93.63 90.00°
With the nearest neighbours (Å) after each atom.
Space group Pm (No. 6)
Unique sites:
Ca1 0.0000 0.0000 0.0000 [1 per cell]  7 O 2.33-2.55, 3 H 2.36-2.40
Sm1 0.0279 0.0000 0.6357 [1 per cell]  6 O 2.29-2.46
Sm2 0.0467 0.5000 0.2855 [1 per cell]  5 O 2.35-2.48, 1 H 2.60
Sm3 0.4868 0.0000 0.1252 [1 per cell]  3 O 2.29-2.43
Sm4 0.5843 0.5000 0.8010 [1 per cell]  7 O 2.29-2.51
H1 0.2438 0.0000 0.8444 [1 per cell]  1 O 0.98
H2 0.2678 0.0000 0.4208 [1 per cell]  1 O 1.00
H3 0.6401 0.5000 0.5384 [1 per cell]  1 O 0.98
H4 0.8038 0.5000 0.0876 [1 per cell]  1 O 0.99
O1 0.1017 0.0000 0.4336 [1 per cell]  1 H 1.00
O2 0.2152 0.5000 0.0996 [1 per cell]  3 Sm 2.40-2.43, 1 H 2.43, 2 Ca 2.45
O3 0.2460 0.5000 0.6917 [1 per cell]  3 Sm 2.29, 2 H 2.51
O4 0.3740 0.0000 0.9015 [1 per cell]  1 H 0.98
O5 0.7036 0.5000 0.0154 [1 per cell]  1 H 0.99
O6 0.7482 0.5000 0.6070 [1 per cell]  1 H 0.98
O7 0.8338 0.0000 0.8099 [1 per cell]  1 Ca 2.33, 3 Sm 2.33-2.36, 1 H 2.44
O8 0.8614 0.0000 0.1897 [1 per cell]  2 H 2.17, 3 Sm 2.29-2.35, 1 Ca 2.37

Calculated values
Density of states at the Fermi level ... 1.9 states/eV per cell
V ... 14.369 Å³/atom
Electronic total energy ... -113.3 eV for the cell shown
Theoretical density ... 5.3 Mg/m³